Density functional theory data (PBE) for a geometry-optimized GaFe6Ni5 structure.

Cell: 6.698 6.698 6.698 Å, 149.10 114.00 74.65°
Fractional positions:
Ga  0.000  0.000  0.000
Fe  0.086  0.832  0.254
Fe  0.259  0.500  0.759
Fe  0.423  0.168  0.254
Fe  0.577  0.832  0.746
Fe  0.741  0.500  0.241
Fe  0.914  0.168  0.746
Ni  0.167  0.667  0.500
Ni  0.331  0.331  0.000
Ni  0.500  0.000  0.500
Ni  0.669  0.669  0.000
Ni  0.833  0.333  0.500

Results
- Calculated volume: 138.7 Å³/f.u.
- Symmetry: No. 71
- DOS(E_F): 10.2 states/eV/cell
- Magnetic moment: 18.25 μB/f.u.
- VASP energy: -6.98 eV per atom

Density functional theory data (PBE) for a geometry-optimized Ga2Fe3Ni3 structure.

Cell: 3.595 3.736 7.103 Å, 90.00 90.00 90.00°
Fractional positions:
Ga  0.000  0.000  0.246
Ga  0.000  0.000  0.754
Fe  0.000  0.500  0.500
Fe  0.500  0.500  0.253
Fe  0.500  0.500  0.747
Ni  0.000  0.500  0.000
Ni  0.500  0.000  0.000
Ni  0.500  0.000  0.500

Results
- Calculated volume: 95.4 Å³/f.u.
- Symmetry: No. 47
- DOS(E_F): 6.3 states/eV/cell
- Magnetic moment: 8.05 μB/f.u.
- VASP energy: -6.28 eV per atom